# 1
# Rb2ZrBeS4

An optimized crystal structure of Rb2ZrBeS4 (GGA-PBE, Alexandria).

Lattice parameters (Å, degrees): 7.6917 7.6917 7.4389 90.73 90.73 101.23
Closest atoms and distances in Å follow each position.
Fractional coordinates of all 16 atoms:
Rb  0.5000  0.0000  0.0000  6 S 3.28-3.66
Rb  0.5000  0.0000  0.5000  6 S 3.28-3.66
Rb  0.0000  0.0000  0.5000  2 S 3.02
Rb  0.5000  0.5000  0.0000  2 S 3.02
Zr  0.0000  0.5000  0.0000  6 S 2.58-2.78
Zr  0.0000  0.5000  0.5000  6 S 2.58-2.78
Be  0.5000  0.5000  0.5000  2 S 1.89
Be  0.0000  0.0000  0.0000  2 S 1.89
S  0.1818  0.6840  0.7545  2 Zr 2.58
S  0.8160  0.3182  0.7455  2 Zr 2.58
S  0.1840  0.6818  0.2545  2 Zr 2.58
S  0.8182  0.3160  0.2455  2 Zr 2.58
S  0.8299  0.7874  0.0040  1 Be 1.89
S  0.7126  0.6701  0.4960  1 Be 1.89
S  0.2874  0.3299  0.5040  1 Be 1.89
S  0.1701  0.2126  0.9960  1 Be 1.89

Summary:
The calculation puts the calculated total energy at -4.926 eV/atom. The value obtained for the formation energy without anion corrections is -8.7 eV per formula unit. The space group is C2/c. As for the spin magnetization: 0.0 μB/f.u.

---

# 2
# Tm2CoSn

An optimized crystal structure of Tm2CoSn (GGA-PBE, Alexandria).

Lattice parameters (Å, degrees): 4.0093 4.8739 5.8497 114.60 110.00 90.00
Closest atoms and distances in Å follow each position.
Fractional coordinates of all 4 atoms:
Tm  0.1694  0.9279  0.3378  2 Co 2.60-2.61
Tm  0.8313  0.5900  0.6622  2 Co 2.60-2.61
Co  0.5004  0.7591  0.0000  2 Sn 2.44, 4 Tm 2.60-2.61
Sn  0.4990  0.2591  0.0001  2 Co 2.44

Summary:
The calculation puts the calculated total energy at -5.281 eV/atom. The space group is Imm2. The energy of formation from the pure elements is -0.268 eV per atom. As for the spin magnetization: 0.0 μB/f.u.

---

> What is the calculated total energy in the first record?

-4.926 eV/atom

---

> Number 1 is which compound?

Rb2ZrBeS4